The following is a GGA-PBEsol calculation of a relaxed CaMgSe2 crystal, from Alexandria via LeMat-Bulk. Values from VASP.

The structure in Quantum ESPRESSO input format:
```
&SYSTEM
  ibrav = 0, nat = 4, ntyp = 3
/
ATOMIC_SPECIES
Ca 40.08 Ca.upf
Mg 24.30 Mg.upf
Se 78.96 Se.upf
ATOMIC_POSITIONS crystal
Ca 0.000 0.000 0.000
Mg 0.253 0.753 0.500
Se 0.406 0.406 0.000
Se 0.671 0.171 0.500
CELL_PARAMETERS angstrom
-1.842 1.867 6.748
1.842 -1.867 6.748
1.842 1.867 -6.748
```

Summary:
Formation energy from raw total energies: -5.694 eV/f.u.
Total magnetic moment: 0.0 μB/f.u.